No. 1
This record from the Alexandria database describes a relaxed structure of Y6MnS8. The functional is GGA-PBE.

Values from the calculation:
- symmetry = Fm-3m
- E (eV/atom) = -7.26
- M_tot (Bohr magnetons per cell) = 4.7
- raw formation energy (eV per atom) = -1.862
- DOS(E_F) (states/eV/cell) = 3.74

The structure in POSCAR format:
```
Y6MnS8
1.0
6.738 0.000 3.890
2.246 6.352 3.890
0.000 0.000 7.780
Y Mn S
6 1 8
Cartesian
1.123 3.176 5.835
3.369 0.000 1.945
4.492 3.176 3.890
0.000 0.000 3.890
1.123 3.176 1.945
3.369 0.000 5.835
0.000 0.000 0.000
6.738 4.764 11.670
2.246 1.588 3.890
5.652 1.536 5.771
3.332 4.817 9.789
2.172 1.536 7.780
6.812 4.817 7.780
5.652 1.536 9.789
3.332 4.817 5.771
```


No. 2
This record from the Alexandria database describes a relaxed structure of YMn2S2. The functional is GGA-PBE.

Values from the calculation:
- relative energy among the computed polymorphs (eV per atom) = 0.000
- symmetry = I4/mmm
- E (eV/atom) = -7.22
- M_tot (Bohr magnetons per cell) = 1.0
- raw formation energy (eV per atom) = -0.605
- DOS(E_F) (states/eV/cell) = 2.96

The structure in POSCAR format:
```
YMn2S2
1.0
4.251 0.000 0.000
0.000 4.251 0.000
2.126 2.126 4.092
Y S Mn
1 2 2
Cartesian
0.000 0.000 0.000
4.251 2.126 2.046
2.126 4.251 2.046
2.126 2.126 1.108
4.251 4.251 2.984
```


No. 3
This record from the Alexandria database describes a relaxed structure of YMn2S4. The functional is GGA-PBE.

Values from the calculation:
- relative energy among the computed polymorphs (eV per atom) = 0.002
- symmetry = Imma
- E (eV/atom) = -6.94
- M_tot (Bohr magnetons per cell) = 18.0
- raw formation energy (eV per atom) = -1.034
- DOS(E_F) (states/eV/cell) = 3.60

The structure in POSCAR format:
```
YMn2S4
1.0
-3.755 3.849 5.249
3.755 -3.849 5.249
3.755 3.849 -5.249
Y Mn S
2 4 8
Cartesian
3.755 0.000 0.000
0.000 0.000 5.249
3.755 -1.925 3.902
0.000 5.774 1.347
1.877 1.925 2.624
-1.877 1.925 2.624
0.000 0.193 2.541
0.000 3.657 2.541
1.859 5.774 -0.158
3.755 3.657 2.708
1.859 1.925 0.158
3.755 0.193 2.708
1.896 1.925 5.091
1.896 -1.925 5.406
```


No. 4
This record from the Alexandria database describes a relaxed structure of YMn2S4. The functional is GGA-PBE.

Values from the calculation:
- relative energy among the computed polymorphs (eV per atom) = 0.000
- symmetry = Imma
- E (eV/atom) = -6.94
- M_tot (Bohr magnetons per cell) = 17.9
- raw formation energy (eV per atom) = -1.036
- DOS(E_F) (states/eV/cell) = 2.06

The structure in POSCAR format:
```
YMn2S4
1.0
3.860 6.417 -0.056
-3.860 6.417 -0.056
0.000 4.105 5.930
Y Mn S
2 4 8
Cartesian
1.930 3.209 -0.028
-1.930 3.209 -0.028
0.000 8.470 2.909
1.930 5.261 2.937
0.000 6.417 -0.056
-1.930 5.261 2.937
-1.596 7.369 1.478
0.000 6.173 4.399
1.596 7.369 1.478
0.000 12.727 4.249
-1.596 9.570 4.341
0.000 10.766 1.419
0.000 4.212 1.569
1.596 9.570 4.341
```


No. 5
This record from the Alexandria database describes a relaxed structure of Y3MnS. The functional is GGA-PBE.

Values from the calculation:
- relative energy among the computed polymorphs (eV per atom) = 0.000
- symmetry = Pm-3m
- E (eV/atom) = -6.56
- M_tot (Bohr magnetons per cell) = 0.1
- raw formation energy (eV per atom) = -0.025
- DOS(E_F) (states/eV/cell) = 9.15

The structure in POSCAR format:
```
Y3MnS
1.0
5.128 0.000 0.000
0.000 5.128 0.000
0.000 0.000 5.128
Y S Mn
3 1 1
Cartesian
0.000 2.564 0.000
0.000 0.000 2.564
2.564 0.000 0.000
0.000 0.000 0.000
2.564 2.564 2.564
```


No. 6
This record from the Alexandria database describes a relaxed structure of YMn2S2. The functional is GGA-PBE.

Values from the calculation:
- relative energy among the computed polymorphs (eV per atom) = 0.312
- symmetry = P4/mbm
- E (eV/atom) = -6.90
- M_tot (Bohr magnetons per cell) = 14.0
- raw formation energy (eV per atom) = -0.293
- DOS(E_F) (states/eV/cell) = 3.10

The structure in POSCAR format:
```
YMn2S2
1.0
7.104 0.000 0.000
0.000 7.104 0.000
0.000 0.000 3.312
Y S Mn
2 4 4
Cartesian
0.000 0.000 0.000
3.552 3.552 0.000
1.300 4.852 1.656
4.852 5.805 1.656
5.805 2.253 1.656
2.253 1.300 1.656
2.683 6.235 0.000
6.235 4.421 0.000
4.421 0.869 0.000
0.869 2.683 0.000
```


No. 7
This record from the Alexandria database describes a relaxed structure of YMn2S4. The functional is GGA-PBE.

Values from the calculation:
- relative energy among the computed polymorphs (eV per atom) = 0.094
- symmetry = I4_1/amd
- E (eV/atom) = -6.84
- M_tot (Bohr magnetons per cell) = 18.0
- raw formation energy (eV per atom) = -0.942
- DOS(E_F) (states/eV/cell) = 5.01

The structure in POSCAR format:
```
YMn2S4
1.0
-3.598 3.598 5.937
3.598 -3.598 5.937
3.598 3.598 -5.937
Y Mn S
2 4 8
Cartesian
3.598 0.000 2.968
0.000 0.000 5.937
1.799 3.598 4.453
0.000 1.799 1.484
0.000 5.397 1.484
-1.799 3.598 4.453
1.942 0.000 7.678
3.598 1.656 -1.741
0.000 1.942 4.195
1.656 0.000 1.227
5.540 0.000 1.227
3.598 1.942 4.710
1.656 3.598 1.741
3.598 -1.942 4.710
```


No. 8
This record from the Alexandria database describes a relaxed structure of Y2ZrMnS6. The functional is GGA-PBE.

Values from the calculation:
- symmetry = R3
- E (eV/atom) = -7.10
- M_tot (Bohr magnetons per cell) = 5.0
- raw formation energy (eV per atom) = -1.563

The structure in POSCAR format:
```
Y2ZrMnS6
1.0
-4.650 -1.088 -4.673
-3.939 -5.383 0.394
-6.812 0.967 1.776
Y Zr Mn S
2 1 1 6
Cartesian
-7.487 -2.921 -1.425
-6.570 0.776 1.580
-10.710 -4.794 -2.559
-3.067 -1.995 -1.261
-5.325 -1.511 -2.262
-6.399 -5.047 -0.136
-8.470 -3.999 -3.713
-10.014 -3.521 -0.473
-8.789 -0.524 -1.885
-7.369 -1.783 1.094
```


No. 9
This record from the Alexandria database describes a relaxed structure of Yb2MnS4. The functional is GGA-PBE.

Values from the calculation:
- relative energy among the computed polymorphs (eV per atom) = 0.000
- symmetry = I-42d
- E (eV/atom) = -5.50
- M_tot (Bohr magnetons per cell) = 5.8
- raw formation energy (eV per atom) = -1.400
- DOS(E_F) (states/eV/cell) = 43.13

The structure in POSCAR format:
```
Yb2MnS4
1.0
-4.596 4.596 4.047
4.596 -4.596 4.047
4.596 4.596 -4.047
Yb Mn S
4 2 8
Cartesian
6.894 2.178 -1.012
2.418 2.298 5.059
-2.298 2.418 3.035
2.178 2.298 1.012
0.000 0.000 4.047
4.596 0.000 2.023
2.547 -0.420 1.108
4.177 2.547 -0.916
5.016 -2.049 2.939
4.177 2.049 2.939
0.420 2.049 3.131
2.049 -0.420 4.963
2.547 5.016 0.916
6.645 0.420 1.108
```


No. 10
This record from the Alexandria database describes a relaxed structure of Yb2MnS4. The functional is GGA-PBE.

Values from the calculation:
- relative energy among the computed polymorphs (eV per atom) = 0.067
- symmetry = Fd-3m
- E (eV/atom) = -5.44
- M_tot (Bohr magnetons per cell) = 5.8
- raw formation energy (eV per atom) = -1.333
- DOS(E_F) (states/eV/cell) = 32.24

The structure in POSCAR format:
```
Yb2MnS4
1.0
0.000 5.454 5.454
5.454 0.000 5.454
5.454 5.454 0.000
Yb Mn S
4 2 8
Cartesian
6.818 4.091 4.091
4.091 4.091 6.818
4.091 6.818 4.091
6.818 6.818 6.818
2.727 2.727 2.727
0.000 0.000 0.000
6.838 6.838 4.071
9.565 6.798 6.798
9.565 9.565 9.565
6.798 9.565 6.798
4.071 4.071 4.071
6.838 4.071 6.838
6.798 6.798 9.565
4.071 6.838 6.838
```


No. 11
This record from the Alexandria database describes a relaxed structure of MnZn2S3. The functional is GGA-PBE.

Values from the calculation:
- symmetry = Cc
- E (eV/atom) = -4.73
- M_tot (Bohr magnetons per cell) = 10.0
- raw formation energy (eV per atom) = -0.718

The structure in POSCAR format:
```
MnZn2S3
1.0
6.638 -0.012 -1.128
-3.609 5.571 -1.128
0.014 0.025 6.719
Mn Zn S
2 4 6
Cartesian
-2.698 5.174 2.249
5.803 0.526 -1.111
2.403 2.380 -1.102
4.108 1.475 2.257
0.704 3.322 2.257
-0.995 4.238 -1.102
-0.455 1.271 2.287
1.321 0.319 5.646
4.477 2.201 4.479
-0.585 4.942 1.119
1.078 3.999 4.491
2.768 3.062 1.132
```


No. 12
This record from the Alexandria database describes a relaxed structure of Mn4ZnS8. The functional is GGA-PBE.

Values from the calculation:
- relative energy among the computed polymorphs (eV per atom) = 0.058
- symmetry = R-3m
- E (eV/atom) = -5.99
- M_tot (Bohr magnetons per cell) = 12.3
- raw formation energy (eV per atom) = -0.526
- DOS(E_F) (states/eV/cell) = 5.41

The structure in POSCAR format:
```
Mn4ZnS8
1.0
-5.069 0.003 -4.850
0.730 -3.517 -6.026
-3.769 -5.767 -1.325
Mn Zn S
4 1 8
Cartesian
-4.054 -4.640 -6.100
-1.519 -4.642 -3.675
-4.419 -2.882 -3.087
-2.169 -1.757 -5.438
0.000 0.000 0.000
-6.409 -5.272 -6.266
-3.659 -6.942 -6.824
-4.275 -4.205 -8.496
-5.999 -6.868 -9.029
-2.108 -2.413 -3.172
-4.449 -2.339 -5.377
-3.832 -5.075 -3.705
-1.698 -4.008 -5.935
```


No. 13
This record from the Alexandria database describes a relaxed structure of Mn5ZnS8. The functional is GGA-PBE.

Values from the calculation:
- symmetry = F-43m
- E (eV/atom) = -6.28
- M_tot (Bohr magnetons per cell) = 20.4
- raw formation energy (eV per atom) = -0.557
- DOS(E_F) (states/eV/cell) = 8.47

The structure in POSCAR format:
```
Mn5ZnS8
1.0
-6.960 -1.443 1.016
-2.388 -1.740 6.544
-4.124 4.601 3.658
Mn Zn S
5 1 8
Cartesian
0.000 0.000 0.000
-6.362 -1.391 5.187
-8.401 0.884 6.996
-4.959 1.598 6.493
-7.220 1.745 3.760
-3.368 0.355 2.804
-6.280 -0.266 7.350
-8.408 -0.128 4.776
-5.168 0.544 4.303
-7.088 2.686 6.006
-9.753 -0.905 8.018
-8.438 1.897 9.243
-11.665 1.228 9.713
-10.558 2.035 6.680
```


No. 14
This record from the Alexandria database describes a relaxed structure of Mn3ZnS6. The functional is GGA-PBE.

Values from the calculation:
- symmetry = Cmc2_1
- E (eV/atom) = -5.76
- M_tot (Bohr magnetons per cell) = 22.0
- raw formation energy (eV per atom) = -0.408
- DOS(E_F) (states/eV/cell) = 4.47

The structure in POSCAR format:
```
Mn3ZnS6
1.0
-5.804 -1.419 -1.723
0.566 -6.702 3.612
-2.740 4.534 5.497
Mn Zn S
6 2 12
Cartesian
-4.360 -3.753 6.222
-2.211 -0.485 7.512
-3.900 -0.551 4.010
-6.132 -3.538 2.766
-0.889 0.833 1.974
-3.038 -2.434 0.683
-2.241 2.378 5.103
-3.087 -5.317 3.069
-2.587 -2.040 5.659
-5.663 -2.158 4.897
-3.645 0.806 6.110
-5.014 -5.113 4.375
-4.903 -7.998 1.998
-5.790 1.067 3.943
-1.076 -4.382 3.772
-5.285 3.871 4.731
-2.909 1.540 3.027
-4.278 -4.379 1.292
-1.862 -1.317 2.623
-4.938 -1.436 1.860
```


No. 15
This record from the Alexandria database describes a relaxed structure of MnZn3S. The functional is GGA-PBE.

Values from the calculation:
- relative energy among the computed polymorphs (eV per atom) = 0.072
- symmetry = Pm-3m
- E (eV/atom) = -2.68
- M_tot (Bohr magnetons per cell) = 3.6
- raw formation energy (eV per atom) = 0.739
- DOS(E_F) (states/eV/cell) = 3.38

The structure in POSCAR format:
```
MnZn3S
1.0
4.784 0.000 0.000
0.000 4.784 0.000
0.000 0.000 4.784
Zn Mn S
3 1 1
Cartesian
0.000 2.392 0.000
0.000 0.000 2.392
2.392 0.000 0.000
0.000 0.000 0.000
2.392 2.392 2.392
```


No. 16
This record from the Alexandria database describes a relaxed structure of MnZnS3. The functional is GGA-PBE.

Values from the calculation:
- relative energy among the computed polymorphs (eV per atom) = 0.774
- symmetry = Pm-3m
- E (eV/atom) = -3.47
- M_tot (Bohr magnetons per cell) = 0.3
- raw formation energy (eV per atom) = 1.097
- DOS(E_F) (states/eV/cell) = 9.06

The structure in POSCAR format:
```
MnZnS3
1.0
4.583 0.000 0.000
0.000 4.583 0.000
0.000 0.000 4.583
Zn Mn S
1 1 3
Cartesian
0.000 0.000 0.000
2.291 2.291 2.291
0.000 2.291 0.000
0.000 0.000 2.291
2.291 0.000 0.000
```


No. 17
This record from the Alexandria database describes a relaxed structure of MnZn3S4. The functional is GGA-PBE.

Values from the calculation:
- symmetry = P3m1
- E (eV/atom) = -4.42
- M_tot (Bohr magnetons per cell) = 5.0
- raw formation energy (eV per atom) = -0.730

The structure in POSCAR format:
```
MnZn3S4
1.0
3.875 0.000 0.000
-1.938 3.356 0.000
0.000 0.000 12.724
Mn Zn S
1 3 4
Cartesian
0.000 0.000 3.153
0.000 0.000 9.539
0.000 2.237 12.678
0.000 2.237 6.401
0.000 0.000 0.744
0.000 0.000 7.177
0.000 2.237 4.044
0.000 2.237 10.317
```


No. 18
This record from the Alexandria database describes a relaxed structure of MnZnS3. The functional is GGA-PBE.

Values from the calculation:
- relative energy among the computed polymorphs (eV per atom) = 0.000
- symmetry = Pm-3m
- E (eV/atom) = -4.24
- M_tot (Bohr magnetons per cell) = 0.0
- raw formation energy (eV per atom) = 0.322
- DOS(E_F) (states/eV/cell) = 8.34

The structure in POSCAR format:
```
MnZnS3
1.0
-3.476 0.730 -2.680
0.540 -4.033 -1.799
-2.725 -1.731 3.062
Zn Mn S
1 1 3
Cartesian
-2.830 -2.517 -0.709
0.000 0.000 0.000
0.270 -2.017 -0.900
-1.362 -0.866 1.531
-1.738 0.365 -1.340
```


No. 19
This record from the Alexandria database describes a relaxed structure of Mn4ZnS8. The functional is GGA-PBE.

Values from the calculation:
- relative energy among the computed polymorphs (eV per atom) = 0.000
- symmetry = F-43m
- E (eV/atom) = -6.04
- M_tot (Bohr magnetons per cell) = 10.2
- raw formation energy (eV per atom) = -0.585
- DOS(E_F) (states/eV/cell) = 5.60

The structure in POSCAR format:
```
Mn4ZnS8
1.0
5.972 0.000 3.448
1.991 5.630 3.448
0.000 0.000 6.895
Mn Zn S
4 1 8
Cartesian
6.056 2.081 6.895
3.981 5.016 6.895
2.943 2.081 8.693
2.943 2.081 5.098
5.972 4.223 10.343
3.843 0.753 3.448
1.991 3.372 3.448
1.064 0.753 5.052
1.064 0.753 1.843
2.173 3.454 6.895
3.981 0.897 6.895
4.885 3.454 5.330
4.885 3.454 8.461
```


No. 20
This record from the Alexandria database describes a relaxed structure of Mn4ZnS8. The functional is GGA-PBE.

Values from the calculation:
- relative energy among the computed polymorphs (eV per atom) = 0.041
- symmetry = R-3m
- E (eV/atom) = -6.00
- M_tot (Bohr magnetons per cell) = 11.5
- raw formation energy (eV per atom) = -0.543
- DOS(E_F) (states/eV/cell) = 5.00

The structure in POSCAR format:
```
Mn4ZnS8
1.0
-0.257 3.102 -6.557
1.839 -3.262 -6.218
-4.644 -1.810 -5.277
Mn Zn S
4 1 8
Cartesian
-1.403 -2.536 -5.748
-2.450 0.646 -5.917
0.791 -0.080 -6.388
0.000 0.000 0.000
-1.531 -0.985 -9.026
-2.189 -2.996 -10.457
-3.003 -1.361 -6.974
-0.873 1.025 -7.595
0.145 -2.066 -7.431
-0.802 -0.516 -4.730
-2.260 -1.454 -13.323
-3.207 0.095 -10.622
-0.059 -0.610 -11.079
```